GGA-PBE KMg2, relaxed; DFT total energy = -0.783 eV/atom
1.0
8.317 0.000 0.000
0.000 8.317 0.000
0.000 0.000 8.317
K Mg
4 8
Cartesian
4.158 0.000 4.158 K
4.158 4.158 0.000 K
0.000 0.000 0.000 K
0.000 4.158 4.158 K
3.276 3.276 3.276 Mg
5.040 7.435 0.882 Mg
0.882 7.435 3.276 Mg
0.882 5.040 7.435 Mg
3.276 0.882 7.435 Mg
7.435 0.882 5.040 Mg
5.040 5.040 5.040 Mg
7.435 3.276 0.882 Mg


GGA-PBE KMg2, relaxed; DFT total energy = -1.295 eV/atom
1.0
9.485 7.910 -4.420
-11.072 -6.869 1.511
-1.998 3.756 2.436
Mg K
4 2
Cartesian
-11.225 -3.084 2.949 Mg
-3.101 2.756 0.606 Mg
-0.485 2.041 -1.079 Mg
7.640 7.882 -3.423 Mg
4.361 8.121 -1.547 K
-7.947 -3.324 1.074 K


Per-record DOS(E_F), states/eV per atom: 0.806, 0.370